# HfZn2Cd | Alexandria via LeMat-Bulk | PBE-GGA | relaxed
data_HfZn2Cd
_chemical_formula_sum 'Hf4 Zn8 Cd4'
_space_group_name_H-M_alt 'I -4 2 d'
_space_group_IT_number 122
_space_group_name_Hall 'I -4 2bw'
_cell_length_a 7.330
_cell_length_b 7.330
_cell_length_c 5.864
_cell_angle_alpha 90.00
_cell_angle_beta 90.00
_cell_angle_gamma 90.00
loop_
_atom_site_label
_atom_site_type_symbol
_atom_site_fract_x
_atom_site_fract_y
_atom_site_fract_z
_atom_site_occupancy
Hf1 Hf 0.000 0.000 0.000 1
Zn1 Zn 0.240 0.250 0.625 1
Cd1 Cd 0.000 0.000 0.500 1
# DOS at the Fermi energy = 0.43 states/eV/atom
# crystal system = tetragonal
# E_form = 0.244 eV/atom


# Hf2Zn2Cd3 | Alexandria via LeMat-Bulk | PBE-GGA | relaxed
data_Hf2Zn2Cd3
_chemical_formula_sum 'Hf4 Zn4 Cd6'
_space_group_name_H-M_alt 'C m m m'
_space_group_IT_number 65
_space_group_name_Hall '-C 2 2'
_cell_length_a 4.308
_cell_length_b 20.094
_cell_length_c 3.156
_cell_angle_alpha 90.00
_cell_angle_beta 90.00
_cell_angle_gamma 90.00
loop_
_atom_site_label
_atom_site_type_symbol
_atom_site_fract_x
_atom_site_fract_y
_atom_site_fract_z
_atom_site_occupancy
Hf1 Hf 0.000 0.164 0.000 1
Zn1 Zn 0.000 0.284 0.500 1
Cd1 Cd 0.000 0.000 0.000 1
Cd2 Cd 0.000 0.421 0.500 1
# DOS at the Fermi energy = 0.53 states/eV/atom
# crystal system = orthorhombic
# E_form = -0.065 eV/atom


# Hf2ZnCd2 | Alexandria via LeMat-Bulk | PBE-GGA | relaxed
data_Hf2ZnCd2
_chemical_formula_sum 'Hf4 Zn2 Cd4'
_space_group_name_H-M_alt 'P 4/m b m'
_space_group_IT_number 127
_space_group_name_Hall '-P 4 2ab'
_cell_length_a 6.800
_cell_length_b 6.800
_cell_length_c 4.492
_cell_angle_alpha 90.00
_cell_angle_beta 90.00
_cell_angle_gamma 90.00
loop_
_atom_site_label
_atom_site_type_symbol
_atom_site_fract_x
_atom_site_fract_y
_atom_site_fract_z
_atom_site_occupancy
Hf1 Hf 0.165 0.335 0.000 1
Zn1 Zn 0.000 0.000 0.500 1
Cd1 Cd 0.142 0.642 0.500 1
# relative energy among the computed polymorphs = 0 kJ/mol of formula units
# DOS at the Fermi energy = 0.19 states/eV/atom
# crystal system = tetragonal
# E_form = 0.145 eV/atom


Q: E_form of number 3 (Hf2ZnCd2)?
A: 0.145 eV/atom


Q: E_form of number 3 (Hf2ZnCd2)?
A: 0.145 eV/atom